A plane-wave DFT calculation with PBE was carried out for crystalline CeZrMn at its relaxed geometry.

Summary:
Formation energy from the elements ... 0.08 eV/atom
Relative energy among the computed polymorphs ... 0 meV/atom
N(E_F) ... 1.214 states/eV/atom

abc: 3.832 5.132 6.688
angles: 90.00 90.07 90.00
Space group P2_1/m (No. 11)
Asymmetric unit:
1 Ce 0.250 0.250 0.095 x2
2 Zr 0.251 0.250 0.575 x2
3 Mn 0.250 0.750 0.724 x2